The following is a DFT calculation (GGA-PBE) of a geometry-optimized Nb4Co2Se13 structure.

extended XYZ file:
```
19
Lattice="6.810 -1.705 0.000 6.810 1.705 0.000 -5.838 0.000 18.738" Properties=species:S:1:pos:R:3 pbc="T T T"
Nb 0.799 0.000 2.953
Nb 0.901 0.000 7.666
Nb 6.880 0.000 11.072
Nb 6.982 0.000 15.785
Co -0.483 0.000 13.407
Co 8.264 0.000 5.331
Se -0.258 0.000 5.365
Se -1.824 0.000 11.466
Se -1.220 0.000 17.224
Se 2.845 0.000 4.461
Se 1.867 0.000 10.185
Se 5.682 0.000 2.387
Se 6.810 0.000 0.000
Se 2.099 0.000 16.351
Se 5.914 0.000 8.553
Se 4.936 0.000 14.277
Se 9.001 0.000 1.514
Se 9.606 0.000 7.272
Se 8.039 0.000 13.373
```

Space group: No. 12
Calculated total energy, eV/atom: -5.887



The following is a DFT calculation (GGA-PBE) of a geometry-optimized NbTlCoSe3 structure.

extended XYZ file:
```
12
Lattice="1.761 -7.866 0.000 1.761 7.866 0.000 0.000 0.000 9.616" Properties=species:S:1:pos:R:3 pbc="T T T"
Nb 0.000 0.000 0.000
Nb 0.000 0.000 4.808
Tl 1.761 3.958 7.212
Tl 1.761 -3.958 2.404
Co 1.761 0.429 2.404
Co 1.761 -0.429 7.212
Se 1.761 6.762 2.404
Se 1.761 1.894 0.567
Se 1.761 1.894 4.241
Se 1.761 -1.894 5.375
Se 1.761 -1.894 9.049
Se 1.761 -6.762 7.212
```

Space group: No. 63
Calculated total energy, eV/atom: -5.541



The following is a DFT calculation (GGA-PBE) of a geometry-optimized NbCoSi2 structure.

extended XYZ file:
```
4
Lattice="0.000 3.030 3.030 3.030 0.000 3.030 3.030 3.030 0.000" Properties=species:S:1:pos:R:3 pbc="T T T"
Nb 0.000 0.000 0.000
Co 1.515 1.515 1.515
Si 3.030 3.030 3.030
Si 4.545 4.545 4.545
```

Space group: No. 216
Calculated total energy, eV/atom: -6.932



The following is a DFT calculation (GGA-PBE) of a geometry-optimized NbCoSi structure.

extended XYZ file:
```
12
Lattice="6.241 0.000 0.000 0.000 3.655 0.000 0.000 0.000 7.064" Properties=species:S:1:pos:R:3 pbc="T T T"
Nb 0.135 0.914 1.266
Nb 2.986 2.741 4.798
Nb 3.255 0.914 2.266
Nb 6.106 2.741 5.798
Co 0.877 0.914 3.971
Co 2.243 2.741 0.439
Co 3.997 0.914 6.625
Co 5.364 2.741 3.093
Si 1.406 2.741 2.694
Si 1.715 0.914 6.226
Si 4.526 2.741 0.838
Si 4.835 0.914 4.370
```

Space group: No. 62
Calculated total energy, eV/atom: -8.275



The following is a DFT calculation (GGA-PBE) of a geometry-optimized Nb3Co2Si structure.

extended XYZ file:
```
24
Lattice="0.000 5.575 5.575 5.575 0.000 5.575 5.575 5.575 0.000" Properties=species:S:1:pos:R:3 pbc="T T T"
Nb 4.181 4.181 0.848
Nb 4.181 0.848 4.181
Nb 7.515 4.181 4.181
Nb 6.969 6.969 3.635
Nb 6.969 3.635 6.969
Nb 10.303 6.969 6.969
Nb 0.848 4.181 4.181
Nb 4.181 7.515 4.181
Nb 4.181 4.181 7.515
Nb 3.635 6.969 6.969
Nb 6.969 10.303 6.969
Nb 6.969 6.969 10.303
Co 3.261 3.261 3.261
Co 5.102 5.102 3.261
Co 5.102 3.261 5.102
Co 7.890 6.048 6.048
Co 3.261 5.102 5.102
Co 6.048 7.890 6.048
Co 6.048 6.048 7.890
Co 7.890 7.890 7.890
Si 5.575 2.788 2.788
Si 2.788 5.575 2.788
Si 2.788 2.788 5.575
Si 5.575 5.575 5.575
```

Space group: No. 227
Calculated total energy, eV/atom: -8.698



The following is a DFT calculation (GGA-PBE) of a geometry-optimized NbCoSi structure.

extended XYZ file:
```
6
Lattice="3.977 0.000 0.000 -1.989 3.445 0.000 0.000 0.000 6.097" Properties=species:S:1:pos:R:3 pbc="T T T"
Nb 0.000 0.000 0.000
Nb 0.000 0.000 3.048
Co 0.000 2.296 2.088
Co 1.989 1.148 5.137
Si 0.000 2.296 4.530
Si 1.989 1.148 1.482
```

Space group: No. 186
Calculated total energy, eV/atom: -8.143



The following is a DFT calculation (GGA-PBE) of a geometry-optimized Sm2NbCoSi2 structure.

extended XYZ file:
```
6
Lattice="3.991 0.000 0.000 0.000 3.991 0.000 0.000 0.000 7.553" Properties=species:S:1:pos:R:3 pbc="T T T"
Sm 0.000 1.996 1.183
Sm 1.996 0.000 6.370
Nb 1.996 1.996 3.777
Co 0.000 0.000 3.777
Si 0.000 1.996 5.390
Si 1.996 0.000 2.163
```

Space group: No. 115
Calculated total energy, eV/atom: -6.780



The following is a DFT calculation (GGA-PBE) of a geometry-optimized Nb2Co2SiSn structure.

extended XYZ file:
```
24
Lattice="9.746 0.000 0.000 0.000 4.027 0.000 -2.770 0.000 9.496" Properties=species:S:1:pos:R:3 pbc="T T T"
Nb 0.000 0.000 0.000
Nb -0.366 2.013 1.972
Nb 1.151 0.000 4.818
Nb 2.540 2.013 0.809
Nb 4.073 0.000 2.899
Nb 3.136 2.013 8.552
Nb 6.955 0.000 1.038
Nb 6.110 2.013 6.344
Co -0.520 2.013 4.561
Co -0.430 0.000 8.260
Co 1.799 2.013 3.373
Co 2.316 0.000 7.356
Co 4.937 2.013 1.353
Co 5.322 0.000 5.140
Co 5.543 2.013 8.835
Co 8.544 0.000 2.922
Si -1.766 2.013 8.138
Si 1.471 0.000 2.207
Si 4.291 0.000 0.165
Si 4.761 0.000 7.629
Sn 0.682 2.013 6.913
Sn 3.461 2.013 5.297
Sn 6.540 2.013 3.383
Sn 8.060 0.000 5.671
```

Space group: No. 6
Calculated total energy, eV/atom: -7.525